Compound: HfZnCoIr
Source: the Open Quantum Materials Database
Functional: PBE
Structure: optimized geometry

The structure in extended XYZ format:
```
4
Lattice="0.0000 3.0884 3.0884 3.0884 0.0000 3.0884 3.0884 3.0884 0.0000" Properties=species:S:1:pos:R:3 pbc="T T T"
Hf 0.0000 0.0000 0.0000
Zn 3.0884 3.0884 3.0884
Co 4.6325 4.6325 4.6325
Ir 1.5442 1.5442 1.5442
```

- energy above the lowest structure with this stoichiometry (eV per atom) = 0.000

***

Compound: HfZnCoIr
Source: the Open Quantum Materials Database
Functional: PBE
Structure: optimized geometry

The structure in extended XYZ format:
```
4
Lattice="0.0000 3.1253 3.1253 3.1253 0.0000 3.1253 3.1253 3.1253 0.0000" Properties=species:S:1:pos:R:3 pbc="T T T"
Hf 0.0000 0.0000 0.0000
Zn 1.5626 1.5626 1.5626
Co 3.1253 3.1253 3.1253
Ir 4.6879 4.6879 4.6879
```

- energy above the lowest structure with this stoichiometry (eV per atom) = 0.373

***

Compound: HfZrZn2Co2Ir2
Source: the Open Quantum Materials Database
Functional: PBE
Structure: optimized geometry

The structure in extended XYZ format:
```
8
Lattice="4.3814 0.0000 0.0000 0.0000 4.3814 0.0000 0.0000 0.0000 6.2001" Properties=species:S:1:pos:R:3 pbc="T T T"
Hf 0.0000 0.0000 0.0000
Zr 2.1907 2.1907 3.1000
Zn 0.0000 0.0000 3.1000
Zn 2.1907 2.1907 0.0000
Co 0.0000 2.1907 4.6623
Co 2.1907 0.0000 1.5378
Ir 0.0000 2.1907 1.5303
Ir 2.1907 0.0000 4.6698
```

***

| no. | formation energy (meV/atom) | total energy (eV per cell) |
| --- | --- | --- |
| 1 | -533 | -29.31 |
| 2 | -161 | -27.82 |
| 3 | -494 | -56.90 |